A plane-wave DFT calculation with PBE was carried out for a geometry-optimized Pr2CdSe4 structure.

Computed properties:
SG: No. 122
Volume in Å³/cell: 366.7
ΔE_f (raw) in eV per atom: -1.437

a = 7.815 Å, b = 7.815 Å, c = 7.815 Å
α = 110.92°, β = 110.92°, γ = 106.61°
Atoms (fractional coordinates):
1 Pr 0.009 0.125 0.384
2 Pr 0.375 0.991 0.116
3 Pr 0.741 0.625 0.616
4 Pr 0.875 0.259 0.884
5 Cd 0.250 0.750 0.500
6 Cd 0.500 0.500 0.000
7 Se 0.006 0.742 0.125
8 Se 0.119 0.994 0.736
9 Se 0.134 0.508 0.764
10 Se 0.258 0.384 0.264
11 Se 0.492 0.256 0.625
12 Se 0.616 0.881 0.875
13 Se 0.631 0.866 0.375
14 Se 0.744 0.369 0.236

=====

A plane-wave DFT calculation with PBE was carried out for a geometry-optimized Pr2CdSe structure.

Computed properties:
SG: No. 160
Volume in Å³/cell: 121.4
Fermi-level density of states in states/eV per atom: 0.68
ΔE_f (raw) in eV per atom: -0.946
Energy relative to the lowest polymorph listed for this composition in meV/atom: 68

a = 8.571 Å, b = 8.571 Å, c = 8.571 Å
α = 27.86°, β = 27.86°, γ = 27.86°
Atoms (fractional coordinates):
1 Pr 0.000 0.000 0.000
2 Pr 0.189 0.189 0.189
3 Cd 0.428 0.428 0.428
4 Se 0.596 0.596 0.596

=====

A plane-wave DFT calculation with PBE was carried out for a geometry-optimized PrCdSe2 structure.

Computed properties:
SG: No. 154
Volume in Å³/cell: 421.8
Fermi-level density of states in states/eV per atom: 0.80
ΔE_f (raw) in eV per atom: -1.054
Energy relative to the lowest polymorph listed for this composition in meV/atom: 0

a = 4.332 Å, b = 4.332 Å, c = 25.956 Å
α = 90.00°, β = 90.00°, γ = 120.00°
Atoms (fractional coordinates):
1 Pr 0.000 0.329 0.333
2 Pr 0.329 0.000 0.667
3 Pr 0.671 0.671 0.000
4 Cd 0.000 0.336 0.833
5 Cd 0.336 0.000 0.167
6 Cd 0.664 0.664 0.500
7 Se 0.004 0.337 0.937
8 Se 0.333 0.996 0.270
9 Se 0.337 0.004 0.063
10 Se 0.663 0.667 0.604
11 Se 0.667 0.663 0.396
12 Se 0.996 0.333 0.730

=====

A plane-wave DFT calculation with PBE was carried out for a geometry-optimized Pr4CdTe2Se structure.

Computed properties:
SG: No. 10
Volume in Å³/cell: 251.4
Fermi-level density of states in states/eV per atom: 0.51
ΔE_f (raw) in eV per atom: -1.233

a = 7.774 Å, b = 4.378 Å, c = 7.793 Å
α = 90.00°, β = 108.59°, γ = 90.00°
Atoms (fractional coordinates):
1 Pr 0.238 0.000 0.233
2 Pr 0.247 0.500 0.757
3 Pr 0.753 0.500 0.243
4 Pr 0.762 0.000 0.767
5 Cd 0.500 0.000 0.000
6 Te 0.000 0.000 0.500
7 Te 0.500 0.500 0.500
8 Se 0.000 0.500 0.000